Entry 1:
# K2CrW

An optimized crystal structure of K2CrW (PBE, Alexandria via LeMat-Bulk).

The total moment comes out at 0.271 μB/cell. The value obtained for the relative energy among the computed polymorphs is 799.2 meV/atom. As for the energy relative to the elements: 677 kJ/mol of formula units.

a = 5.397 Å, b = 5.397 Å, c = 5.397 Å
α = 60.00°, β = 60.00°, γ = 60.00°
Positions (direct):
K 0.000 0.000 0.000
K 0.250 0.250 0.250
Cr 0.750 0.750 0.750
W 0.500 0.500 0.500

Entry 2:
# K2CrW

An optimized crystal structure of K2CrW (PBE, Alexandria via LeMat-Bulk).

The total moment comes out at 0.092 μB/cell. The value obtained for the relative energy among the computed polymorphs is 1063.3 meV/atom. As for the energy relative to the elements: 779 kJ/mol of formula units.

a = 5.772 Å, b = 5.772 Å, c = 5.772 Å
α = 60.00°, β = 60.00°, γ = 60.00°
Positions (direct):
K 0.250 0.250 0.250
K 0.750 0.750 0.750
Cr 0.000 0.000 0.000
W 0.500 0.500 0.500

Entry 3:
# KCrW2

An optimized crystal structure of KCrW2 (PBE, Alexandria via LeMat-Bulk).

The total moment comes out at 2.030 μB/cell. The value obtained for the relative energy among the computed polymorphs is 711.9 meV/atom. As for the energy relative to the elements: 609 kJ/mol of formula units.

a = 5.929 Å, b = 5.929 Å, c = 5.929 Å
α = 151.74°, β = 123.43°, γ = 64.42°
Positions (direct):
K 0.000 0.000 0.000
Cr 0.715 0.215 0.500
W 0.296 0.796 0.500
W 0.507 0.507 0.000

Entry 4:
# K2CrW

An optimized crystal structure of K2CrW (PBE, Alexandria via LeMat-Bulk).

The total moment comes out at 1.551 μB/cell. The value obtained for the relative energy among the computed polymorphs is 0.0 meV/atom. As for the energy relative to the elements: 369 kJ/mol of formula units.

a = 3.288 Å, b = 3.307 Å, c = 10.737 Å
α = 90.00°, β = 90.19°, γ = 90.00°
Positions (direct):
K 0.000 0.000 0.000
K 0.494 0.500 0.400
Cr 0.500 0.500 0.747
W 0.999 0.000 0.663

Entry 5:
# KCrW2

An optimized crystal structure of KCrW2 (PBE, Alexandria via LeMat-Bulk).

The total moment comes out at 3.260 μB/cell. The value obtained for the relative energy among the computed polymorphs is 814.9 meV/atom. As for the energy relative to the elements: 649 kJ/mol of formula units.

a = 4.677 Å, b = 4.677 Å, c = 4.677 Å
α = 60.00°, β = 60.00°, γ = 60.00°
Positions (direct):
K 0.000 0.000 0.000
Cr 0.250 0.250 0.250
W 0.500 0.500 0.500
W 0.750 0.750 0.750

Entry 6:
# KCrW2

An optimized crystal structure of KCrW2 (PBE, Alexandria via LeMat-Bulk).

The total moment comes out at 0.001 μB/cell. The value obtained for the relative energy among the computed polymorphs is 1180.9 meV/atom. As for the energy relative to the elements: 790 kJ/mol of formula units.

a = 5.110 Å, b = 5.110 Å, c = 2.649 Å
α = 90.00°, β = 90.00°, γ = 90.00°
Positions (direct):
K 0.000 0.000 0.000
Cr 0.500 0.500 0.000
W 0.000 0.500 0.500
W 0.500 0.000 0.500

Entry 7:
# KCrW

An optimized crystal structure of KCrW (PBE, Alexandria via LeMat-Bulk).

The total moment comes out at 2.806 μB/cell. The value obtained for the relative energy among the computed polymorphs is 144.9 meV/atom. As for the energy relative to the elements: 361 kJ/mol of formula units.

a = 2.914 Å, b = 2.914 Å, c = 8.367 Å
α = 90.00°, β = 90.00°, γ = 120.00°
Positions (direct):
K 0.000 0.000 0.000
Cr 0.333 0.667 0.619
W 0.667 0.333 0.374

Entry 8:
# KCr2W

An optimized crystal structure of KCr2W (PBE, Alexandria via LeMat-Bulk).

The total moment comes out at 7.164 μB/cell. The value obtained for the relative energy among the computed polymorphs is 603.2 meV/atom. As for the energy relative to the elements: 556 kJ/mol of formula units.

a = 5.187 Å, b = 5.187 Å, c = 2.849 Å
α = 90.00°, β = 90.00°, γ = 90.06°
Positions (direct):
K 0.000 0.000 0.000
Cr 0.000 0.500 0.500
Cr 0.500 0.000 0.500
W 0.500 0.500 0.000

Entry 9:
# KCr2W

An optimized crystal structure of KCr2W (PBE, Alexandria via LeMat-Bulk).

The total moment comes out at 2.249 μB/cell. The value obtained for the relative energy among the computed polymorphs is 907.7 meV/atom. As for the energy relative to the elements: 674 kJ/mol of formula units.

a = 4.640 Å, b = 4.640 Å, c = 4.640 Å
α = 119.95°, β = 119.95°, γ = 90.09°
Positions (direct):
K 0.000 0.000 0.000
Cr 0.250 0.750 0.500
Cr 0.500 0.500 0.000
W 0.750 0.250 0.500

Entry 10:
# KCrW2

An optimized crystal structure of KCrW2 (PBE, Alexandria via LeMat-Bulk).

The total moment comes out at 0.000 μB/cell. The value obtained for the relative energy among the computed polymorphs is 145.2 meV/atom. As for the energy relative to the elements: 391 kJ/mol of formula units.

a = 10.257 Å, b = 10.257 Å, c = 10.257 Å
α = 16.34°, β = 16.34°, γ = 16.34°
Positions (direct):
K 0.000 0.000 0.000
Cr 0.500 0.500 0.500
W 0.230 0.230 0.230
W 0.770 0.770 0.770

Entry 11:
# KCr2W

An optimized crystal structure of KCr2W (PBE, Alexandria via LeMat-Bulk).

The total moment comes out at 5.418 μB/cell. The value obtained for the relative energy among the computed polymorphs is 0.0 meV/atom. As for the energy relative to the elements: 323 kJ/mol of formula units.

a = 3.137 Å, b = 3.137 Å, c = 8.585 Å
α = 90.00°, β = 90.00°, γ = 90.00°
Positions (direct):
K 0.000 0.000 0.000
Cr 0.500 0.500 0.336
Cr 0.500 0.500 0.664
W 0.000 0.000 0.500

Entry 12:
# KCrW3

An optimized crystal structure of KCrW3 (PBE, Alexandria via LeMat-Bulk).

The total moment comes out at 0.000 μB/cell. The value obtained for the relative energy among the computed polymorphs is 1944.2 meV/atom. As for the energy relative to the elements: 1854 kJ/mol of formula units.

a = 4.446 Å, b = 4.446 Å, c = 4.446 Å
α = 90.00°, β = 90.00°, γ = 90.00°
Positions (direct):
K 0.000 0.000 0.000
Cr 0.500 0.500 0.500
W 0.000 0.000 0.500
W 0.000 0.500 0.000
W 0.500 0.000 0.000

Entry 13:
# K4CrW

An optimized crystal structure of K4CrW (PBE, Alexandria via LeMat-Bulk).

The total moment comes out at 9.786 μB/cell. As for the energy relative to the elements: 958 kJ/mol of formula units.

a = 7.111 Å, b = 7.111 Å, c = 7.111 Å
α = 60.00°, β = 60.00°, γ = 60.00°
Positions (direct):
K 0.125 0.125 0.125
K 0.125 0.125 0.626
K 0.125 0.626 0.125
K 0.626 0.125 0.125
Cr 0.500 0.500 0.500
W 0.750 0.750 0.750

Entry 14:
# K2CrW

An optimized crystal structure of K2CrW (PBE, Alexandria via LeMat-Bulk).

The total moment comes out at 1.325 μB/cell. The value obtained for the relative energy among the computed polymorphs is 169.3 meV/atom. As for the energy relative to the elements: 434 kJ/mol of formula units.

a = 4.497 Å, b = 4.497 Å, c = 10.330 Å
α = 93.86°, β = 93.86°, γ = 39.29°
Positions (direct):
K 0.000 0.000 0.000
K 0.221 0.221 0.579
Cr 0.731 0.731 0.276
W 0.460 0.460 0.305

Entry 15:
# KCrW2

An optimized crystal structure of KCrW2 (PBE, Alexandria via LeMat-Bulk).

The total moment comes out at 0.001 μB/cell. The value obtained for the relative energy among the computed polymorphs is 1029.1 meV/atom. As for the energy relative to the elements: 732 kJ/mol of formula units.

a = 4.543 Å, b = 4.543 Å, c = 4.543 Å
α = 60.00°, β = 60.00°, γ = 60.00°
Positions (direct):
K 0.000 0.000 0.000
Cr 0.500 0.500 0.500
W 0.250 0.250 0.250
W 0.750 0.750 0.750

Entry 16:
# KCrW2

An optimized crystal structure of KCrW2 (PBE, Alexandria via LeMat-Bulk).

The total moment comes out at 3.018 μB/cell. The value obtained for the relative energy among the computed polymorphs is 891.0 meV/atom. As for the energy relative to the elements: 678 kJ/mol of formula units.

a = 3.841 Å, b = 3.841 Å, c = 5.176 Å
α = 90.00°, β = 90.00°, γ = 90.00°
Positions (direct):
K 0.000 0.000 0.000
Cr 0.500 0.500 0.000
W 0.000 0.500 0.500
W 0.500 0.000 0.500

Entry 17:
# KCrW2

An optimized crystal structure of KCrW2 (PBE, Alexandria via LeMat-Bulk).

The total moment comes out at 3.134 μB/cell. The value obtained for the relative energy among the computed polymorphs is 688.2 meV/atom. As for the energy relative to the elements: 600 kJ/mol of formula units.

a = 5.916 Å, b = 5.916 Å, c = 2.729 Å
α = 97.67°, β = 97.67°, γ = 125.18°
Positions (direct):
K 0.000 0.000 0.000
Cr 0.500 0.500 0.000
W 0.000 0.500 0.500
W 0.500 0.000 0.500

Entry 18:
# KCrW

An optimized crystal structure of KCrW (PBE, Alexandria via LeMat-Bulk).

The total moment comes out at 0.002 μB/cell. The value obtained for the relative energy among the computed polymorphs is 1.5 meV/atom. As for the energy relative to the elements: 319 kJ/mol of formula units.

a = 8.338 Å, b = 8.117 Å, c = 2.909 Å
α = 84.13°, β = 75.57°, γ = 20.30°
Positions (direct):
K 0.000 0.000 0.000
Cr 0.692 0.692 0.308
W 0.302 0.302 0.698

Entry 19:
# KCr2W

An optimized crystal structure of KCr2W (PBE, Alexandria via LeMat-Bulk).

The total moment comes out at 10.928 μB/cell. The value obtained for the relative energy among the computed polymorphs is 910.5 meV/atom. As for the energy relative to the elements: 675 kJ/mol of formula units.

a = 8.719 Å, b = 8.719 Å, c = 8.719 Å
α = 142.27°, β = 142.27°, γ = 54.42°
Positions (direct):
K 0.375 0.625 0.750
K 0.625 0.375 0.250
Cr 0.000 0.000 0.000
Cr 0.000 0.000 0.500
Cr 0.000 0.500 0.000
Cr 0.500 0.000 0.500
W 0.125 0.875 0.250
W 0.875 0.125 0.750

Entry 20:
# KCrW2

An optimized crystal structure of KCrW2 (PBE, Alexandria via LeMat-Bulk).

The total moment comes out at 3.124 μB/cell. The value obtained for the relative energy among the computed polymorphs is 881.7 meV/atom. As for the energy relative to the elements: 675 kJ/mol of formula units.

a = 5.807 Å, b = 5.807 Å, c = 5.807 Å
α = 141.35°, β = 141.35°, γ = 55.81°
Positions (direct):
K 0.000 0.000 0.000
Cr 0.500 0.500 0.000
W 0.250 0.750 0.500
W 0.750 0.250 0.500

Entry 21:
# K2CrW

An optimized crystal structure of K2CrW (PBE, Alexandria via LeMat-Bulk).

The total moment comes out at 4.172 μB/cell. The value obtained for the relative energy among the computed polymorphs is 618.3 meV/atom. As for the energy relative to the elements: 607 kJ/mol of formula units.

a = 2.917 Å, b = 2.917 Å, c = 12.418 Å
α = 90.00°, β = 90.00°, γ = 114.04°
Positions (direct):
K 0.000 0.000 0.245
K 0.000 0.000 0.755
Cr 0.500 0.500 0.500
W 0.500 0.500 0.000

Entry 22:
# KCr2W

An optimized crystal structure of KCr2W (PBE, Alexandria via LeMat-Bulk).

The total moment comes out at 0.116 μB/cell. The value obtained for the relative energy among the computed polymorphs is 504.5 meV/atom. As for the energy relative to the elements: 518 kJ/mol of formula units.

a = 5.929 Å, b = 5.929 Å, c = 5.929 Å
α = 152.90°, β = 127.96°, γ = 59.65°
Positions (direct):
K 0.000 0.000 0.000
Cr 0.524 0.524 0.000
Cr 0.721 0.221 0.500
W 0.295 0.795 0.500

Entry 23:
# KCrW2

An optimized crystal structure of KCrW2 (PBE, Alexandria via LeMat-Bulk).

The total moment comes out at 3.006 μB/cell. The value obtained for the relative energy among the computed polymorphs is 734.3 meV/atom. As for the energy relative to the elements: 618 kJ/mol of formula units.

a = 3.003 Å, b = 4.656 Å, c = 5.388 Å
α = 90.00°, β = 90.00°, γ = 90.00°
Positions (direct):
K 0.000 0.000 0.000
Cr 0.500 0.500 0.000
W 0.000 0.500 0.500
W 0.500 0.000 0.500

Entry 24:
# KCr2W2

An optimized crystal structure of KCr2W2 (PBE, Alexandria via LeMat-Bulk).

The total moment comes out at 0.440 μB/cell. The value obtained for the relative energy among the computed polymorphs is 0.0 meV/atom. As for the energy relative to the elements: 453 kJ/mol of formula units.

a = 8.263 Å, b = 8.263 Å, c = 2.567 Å
α = 90.00°, β = 90.00°, γ = 90.00°
Positions (direct):
K 0.000 0.000 0.000
K 0.500 0.500 0.000
Cr 0.150 0.350 0.000
Cr 0.350 0.850 0.000
Cr 0.650 0.150 0.000
Cr 0.850 0.650 0.000
W 0.137 0.637 0.500
W 0.363 0.137 0.500
W 0.637 0.863 0.500
W 0.863 0.363 0.500

Entry 25:
# KCrW2

An optimized crystal structure of KCrW2 (PBE, Alexandria via LeMat-Bulk).

The total moment comes out at 0.017 μB/cell. The value obtained for the relative energy among the computed polymorphs is 31.2 meV/atom. As for the energy relative to the elements: 347 kJ/mol of formula units.

a = 2.768 Å, b = 2.768 Å, c = 10.366 Å
α = 90.00°, β = 90.00°, γ = 111.45°
Positions (direct):
K 0.000 0.000 0.000
Cr 0.500 0.500 0.708
W 0.000 0.000 0.520
W 0.500 0.500 0.304

Entry 26:
# KCrW2

An optimized crystal structure of KCrW2 (PBE, Alexandria via LeMat-Bulk).

The total moment comes out at 0.001 μB/cell. The value obtained for the relative energy among the computed polymorphs is 159.6 meV/atom. As for the energy relative to the elements: 396 kJ/mol of formula units.

a = 2.810 Å, b = 3.865 Å, c = 8.206 Å
α = 90.00°, β = 97.06°, γ = 90.00°
Positions (direct):
K 0.000 0.000 0.000
Cr 0.500 0.000 0.500
W 0.173 0.500 0.643
W 0.827 0.500 0.357

Entry 27:
# KCrW2

An optimized crystal structure of KCrW2 (PBE, Alexandria via LeMat-Bulk).

The total moment comes out at 0.001 μB/cell. The value obtained for the relative energy among the computed polymorphs is 143.1 meV/atom. As for the energy relative to the elements: 390 kJ/mol of formula units.

a = 2.913 Å, b = 2.913 Å, c = 9.438 Å
α = 90.00°, β = 90.00°, γ = 90.00°
Positions (direct):
K 0.000 0.000 0.000
Cr 0.000 0.000 0.500
W 0.500 0.500 0.338
W 0.500 0.500 0.662

Entry 28:
# KCr2W

An optimized crystal structure of KCr2W (PBE, Alexandria via LeMat-Bulk).

The total moment comes out at 5.039 μB/cell. The value obtained for the relative energy among the computed polymorphs is 631.5 meV/atom. As for the energy relative to the elements: 567 kJ/mol of formula units.

a = 6.059 Å, b = 6.059 Å, c = 6.059 Å
α = 151.34°, β = 120.58°, γ = 67.28°
Positions (direct):
K 0.000 0.000 0.000
Cr 0.305 0.805 0.500
Cr 0.695 0.195 0.500
W 0.500 0.500 0.000

Entry 29:
# KCr2W

An optimized crystal structure of KCr2W (PBE, Alexandria via LeMat-Bulk).

The total moment comes out at 4.363 μB/cell. The value obtained for the relative energy among the computed polymorphs is 234.6 meV/atom. As for the energy relative to the elements: 414 kJ/mol of formula units.

a = 10.041 Å, b = 10.041 Å, c = 10.041 Å
α = 17.47°, β = 17.47°, γ = 17.47°
Positions (direct):
K 0.000 0.000 0.000
Cr 0.229 0.229 0.229
Cr 0.771 0.771 0.771
W 0.500 0.500 0.500

Entry 30:
# K2CrW

An optimized crystal structure of K2CrW (PBE, Alexandria via LeMat-Bulk).

The total moment comes out at 3.004 μB/cell. The value obtained for the relative energy among the computed polymorphs is 690.2 meV/atom. As for the energy relative to the elements: 635 kJ/mol of formula units.

a = 6.691 Å, b = 6.691 Å, c = 2.863 Å
α = 90.00°, β = 90.00°, γ = 130.40°
Positions (direct):
K 0.000 0.500 0.000
K 0.500 0.000 0.000
Cr 0.000 0.000 0.500
W 0.500 0.500 0.500